A relaxed MnZnFeNi crystal. Source: the Alexandria database, functional PBE-GGA.

a b c (Å): 4.054 4.054 4.054
angles (deg): 60.00 60.00 60.00
Last column: magnetic moment on the atom in μB.
Sites, in units of the cell vectors:
Ni  0.500  0.500  0.500  0.50
Zn  0.250  0.250  0.250  -0.03
Mn  0.750  0.750  0.750  2.82
Fe  0.000  0.000  0.000  -0.30

Computed properties:
As for the theoretical density: 8.3 g/cm³. For the total magnetic moment, the calculation gives 2.99 μB per formula unit. Its energy is -24.5 eV per cell.